# 1
DFT (PBE) results for a relaxed La5Bi2H crystal.

extended XYZ file:
```
16
Lattice="7.357 0.000 0.000 0.000 7.357 0.000 0.000 0.000 9.262" Properties=species:S:1:pos:R:3 pbc="T T T"
La 0.000 0.000 0.000
La 1.826 1.826 6.999
La 1.826 5.530 6.999
La 1.852 1.852 2.368
La 1.852 5.505 2.368
La 3.678 3.678 4.631
La 5.505 1.852 2.368
La 5.505 5.505 2.368
La 5.530 1.826 6.999
La 5.530 5.530 6.999
Bi 0.000 3.678 0.052
Bi 0.000 3.678 4.683
Bi 3.678 0.000 0.052
Bi 3.678 0.000 4.683
H 0.000 0.000 6.823
H 3.678 3.678 2.192
```

## Properties
- space-group type = No. 107
- D(E_F) (states/eV per cell) = 17.58
- volume (Å³ per cell) = 501.3

# 2
DFT (PBE) results for a relaxed La3BiH crystal.

extended XYZ file:
```
5
Lattice="5.099 0.000 0.000 0.000 5.099 0.000 0.000 0.000 5.099" Properties=species:S:1:pos:R:3 pbc="T T T"
La 0.000 0.000 2.549
La 0.000 2.549 0.000
La 2.549 0.000 0.000
Bi 2.549 2.549 2.549
H 0.000 0.000 0.000
```

## Properties
- space-group type = No. 221
- offset from the most stable computed form (meV per atom) = 0
- D(E_F) (states/eV per cell) = 4.66
- volume (Å³ per cell) = 132.5

# 3
DFT (PBE) results for a relaxed LaBiH crystal.

extended XYZ file:
```
3
Lattice="4.042 0.000 0.000 -2.021 3.501 0.000 0.000 0.000 5.035" Properties=species:S:1:pos:R:3 pbc="T T T"
La 0.000 0.000 0.000
Bi 2.021 1.167 2.518
H 0.000 2.334 0.000
```

## Properties
- space-group type = No. 187
- offset from the most stable computed form (meV per atom) = 0
- D(E_F) (states/eV per cell) = 1.25
- volume (Å³ per cell) = 71.2

# 4
DFT (PBE) results for a relaxed LaBi3H crystal.

extended XYZ file:
```
5
Lattice="6.241 0.000 0.000 0.000 6.241 0.000 0.000 0.000 6.241" Properties=species:S:1:pos:R:3 pbc="T T T"
La 0.000 0.000 0.000
Bi 0.000 0.000 3.120
Bi 0.000 3.120 0.000
Bi 3.120 0.000 0.000
H 3.120 3.120 3.120
```

## Properties
- space-group type = No. 221
- offset from the most stable computed form (meV per atom) = 1076
- D(E_F) (states/eV per cell) = 2.65
- volume (Å³ per cell) = 243.0

Number 1: total energy -4.980 eV/atom. Number 2: total energy -4.969 eV/atom. Number 3: total energy -4.735 eV/atom. Number 4: total energy -3.137 eV/atom.